Computed, not measured: a relaxed Ba7Sr5Mo4N16 crystal at the PBEsol level of DFT.

**DOS(E_F)**: 0.000 states/eV per cell
**E**: -7.52 eV/atom

abc: 9.936 10.550 11.938
angles: 90.00 90.13 90.00
Element x y z (fractional)
Ba 0.052 0.000 0.380
Ba 0.055 0.502 0.116
Ba 0.122 0.801 0.644
Ba 0.376 0.744 0.351
Ba 0.378 0.245 0.147
Ba 0.438 0.045 0.885
Ba 0.443 0.544 0.615
Ba 0.557 0.044 0.385
Ba 0.562 0.545 0.115
Ba 0.622 0.745 0.853
Ba 0.624 0.244 0.649
Ba 0.878 0.301 0.356
Ba 0.945 0.002 0.884
Ba 0.948 0.500 0.620
Sr 0.127 0.306 0.863
Sr 0.218 0.396 0.394
Sr 0.218 0.898 0.105
Sr 0.282 0.149 0.606
Sr 0.282 0.648 0.897
Sr 0.718 0.148 0.103
Sr 0.718 0.649 0.394
Sr 0.782 0.398 0.895
Sr 0.782 0.896 0.606
Sr 0.873 0.806 0.137
Mo 0.044 0.676 0.382
Mo 0.048 0.175 0.111
Mo 0.449 0.368 0.884
Mo 0.452 0.868 0.615
Mo 0.548 0.368 0.385
Mo 0.551 0.868 0.116
Mo 0.952 0.675 0.889
Mo 0.956 0.176 0.618
N 0.050 0.541 0.828
N 0.056 0.047 0.683
N 0.068 0.779 0.970
N 0.072 0.278 0.535
N 0.121 0.778 0.272
N 0.126 0.275 0.223
N 0.177 0.614 0.478
N 0.180 0.116 0.014
N 0.320 0.432 0.983
N 0.322 0.932 0.517
N 0.363 0.267 0.779
N 0.372 0.765 0.722
N 0.430 0.267 0.467
N 0.432 0.766 0.035
N 0.448 0.496 0.317
N 0.450 0.996 0.183
N 0.550 0.496 0.817
N 0.552 0.996 0.683
N 0.568 0.266 0.965
N 0.570 0.767 0.533
N 0.628 0.265 0.278
N 0.637 0.767 0.221
N 0.678 0.432 0.483
N 0.680 0.932 0.017
N 0.820 0.616 0.986
N 0.823 0.114 0.522
N 0.874 0.775 0.777
N 0.879 0.278 0.728
N 0.928 0.778 0.465
N 0.932 0.279 0.030
N 0.944 0.547 0.317
N 0.950 0.041 0.172